[1]
The following is a PBE calculation of LaHo4Pd4 after structural relaxation, from the Alexandria database.

Unit cell a=5.7437 b=9.1171 c=9.1171 alpha=90.00 beta=90.00 gamma=90.00
Fractional positions:
La1 0.0000 0.0000 0.0000
La2 0.5000 0.5000 0.5000
Ho1 0.4156 0.3302 0.9031
Ho2 0.9156 0.5969 0.8302
Ho3 0.4156 0.6698 0.0969
Ho4 0.0844 0.1698 0.5969
Ho5 0.5844 0.9031 0.6698
Ho6 0.0844 0.8302 0.4031
Ho7 0.9156 0.4031 0.1698
Ho8 0.5844 0.0969 0.3302
Pd1 0.5861 0.7900 0.3701
Pd2 0.5861 0.2100 0.6299
Pd3 0.0861 0.8701 0.7100
Pd4 0.9139 0.2900 0.8701
Pd5 0.9139 0.7100 0.1299
Pd6 0.4139 0.3701 0.2100
Pd7 0.4139 0.6299 0.7900
Pd8 0.0861 0.1299 0.2900

Summary:
Total energy (eV/atom): -5.581
DFT formation energy (eV/atom): -0.69
Symmetry: P4_2/n (86)
DOS(E_F) (states/eV/cell): 16.371
Density (g/cm3): 8.5

[2]
The following is a PBE calculation of La3HoPd2 after structural relaxation, from the Alexandria database.

Unit cell a=8.1883 b=8.1883 c=8.1883 alpha=144.81 beta=146.07 gamma=49.69
Fractional positions:
La1 0.5000 0.5000 0.0000
La2 0.3087 0.8087 0.5000
La3 0.6913 0.1913 0.5000
Ho1 0.0000 0.0000 0.0000
Pd1 0.8793 0.3793 0.5000
Pd2 0.1207 0.6207 0.5000

Summary:
Total energy (eV/atom): -5.446
DFT formation energy (eV/atom): -0.49
Symmetry: Immm (71)
DOS(E_F) (states/eV/cell): 7.524
Density (g/cm3): 7.5

[3]
The following is a PBE calculation of La2HoPd9 after structural relaxation, from the Alexandria database.

Unit cell a=4.2022 b=4.2022 c=12.5263 alpha=90.00 beta=90.00 gamma=90.00
Fractional positions:
La1 0.0000 0.0000 0.3284
La2 0.0000 0.0000 0.6716
Ho1 0.0000 0.0000 0.0000
Pd1 0.5000 0.5000 0.0000
Pd2 0.5000 0.5000 0.3308
Pd3 0.5000 0.5000 0.6692
Pd4 0.5000 0.0000 0.1597
Pd5 0.5000 0.0000 0.5000
Pd6 0.5000 0.0000 0.8403
Pd7 0.0000 0.5000 0.1597
Pd8 0.0000 0.5000 0.5000
Pd9 0.0000 0.5000 0.8403

Summary:
Total energy (eV/atom): -5.921
DFT formation energy (eV/atom): -0.82
Symmetry: P4/mmm (123)
DOS(E_F) (states/eV/cell): 7.320
Density (g/cm3): 10.5

Please write out number 1 again, unchanged.
The following is a PBE calculation of LaHo4Pd4 after structural relaxation, from the Alexandria database.

Unit cell a=5.7437 b=9.1171 c=9.1171 alpha=90.00 beta=90.00 gamma=90.00
Fractional positions:
La1 0.0000 0.0000 0.0000
La2 0.5000 0.5000 0.5000
Ho1 0.4156 0.3302 0.9031
Ho2 0.9156 0.5969 0.8302
Ho3 0.4156 0.6698 0.0969
Ho4 0.0844 0.1698 0.5969
Ho5 0.5844 0.9031 0.6698
Ho6 0.0844 0.8302 0.4031
Ho7 0.9156 0.4031 0.1698
Ho8 0.5844 0.0969 0.3302
Pd1 0.5861 0.7900 0.3701
Pd2 0.5861 0.2100 0.6299
Pd3 0.0861 0.8701 0.7100
Pd4 0.9139 0.2900 0.8701
Pd5 0.9139 0.7100 0.1299
Pd6 0.4139 0.3701 0.2100
Pd7 0.4139 0.6299 0.7900
Pd8 0.0861 0.1299 0.2900

Summary:
Total energy (eV/atom): -5.581
DFT formation energy (eV/atom): -0.69
Symmetry: P4_2/n (86)
DOS(E_F) (states/eV/cell): 16.371
Density (g/cm3): 8.5

What did the second record say?
The following is a PBE calculation of La3HoPd2 after structural relaxation, from the Alexandria database.

Unit cell a=8.1883 b=8.1883 c=8.1883 alpha=144.81 beta=146.07 gamma=49.69
Fractional positions:
La1 0.5000 0.5000 0.0000
La2 0.3087 0.8087 0.5000
La3 0.6913 0.1913 0.5000
Ho1 0.0000 0.0000 0.0000
Pd1 0.8793 0.3793 0.5000
Pd2 0.1207 0.6207 0.5000

Summary:
Total energy (eV/atom): -5.446
DFT formation energy (eV/atom): -0.49
Symmetry: Immm (71)
DOS(E_F) (states/eV/cell): 7.524
Density (g/cm3): 7.5

- Which of these has the lowest DOS(E_F)?
  La2HoPd9

- Among the records above, which one has the highest density?
  La2HoPd9